Entry 1:
VASP calculation (PBE) on a geometry-optimized ScTcRu2 structure.

abc: 2.9934 2.9934 6.8791
angles: 90.00 90.00 90.00
Closest atoms and distances in Å follow each position.
Space group P4/mmm (No. 123)
Symmetry-distinct sites (fractional):
Sc1 0.0000 0.0000 0.0000 [1 per cell]  8 Ru 2.76, 4 Sc 2.99
Tc1 0.0000 0.0000 0.5000 [1 per cell]  8 Ru 2.69, 4 Tc 2.99
Ru1 0.5000 0.5000 0.2583 [2 per cell]  4 Tc 2.69, 4 Sc 2.76, 4 Ru 2.99

Computed properties:
- energy of formation (meV/atom) = -108
- mass density (Mg/m³) = 9.3
- relative energy among the computed polymorphs (meV per atom) = 4

---

Entry 2:
VASP calculation (PBE) on a geometry-optimized Sc2TcRu structure.

abc: 3.1792 4.4393 9.6805
angles: 90.00 90.00 90.00
Closest atoms and distances in Å follow each position.
Space group Imm2 (No. 44)
Symmetry-distinct sites (fractional):
Sc1 0.0000 0.0000 0.0000 [2 per cell]  4 Ru 2.74, 2 Tc 2.92
Sc2 0.0000 0.5000 0.2270 [2 per cell]  4 Tc 2.74, 2 Ru 2.90
Tc1 0.0000 0.5000 0.7527 [2 per cell]  2 Ru 2.68, 6 Sc 2.74-2.92
Ru1 0.0000 0.0000 0.4759 [2 per cell]  2 Tc 2.68, 6 Sc 2.74-2.90

Computed properties:
- energy of formation (meV/atom) = -346
- mass density (Mg/m³) = 7.0

---

Entry 3:
VASP calculation (PBE) on a geometry-optimized ScTcRu2 structure.

abc: 5.4826 8.5343 2.8000
angles: 90.00 110.69 90.00
Closest atoms and distances in Å follow each position.
Space group C2/m (No. 12)
Symmetry-distinct sites (fractional):
Sc1 0.0000 0.0000 0.0000 [2 per cell]  4 Ru 2.65, 2 Tc 2.74, 2 Sc 2.80
Tc1 0.0000 0.5000 0.0000 [2 per cell]  4 Ru 2.65, 2 Sc 2.74, 2 Tc 2.80
Ru1 0.2500 0.2500 0.5000 [4 per cell]  2 Sc 2.65, 2 Tc 2.65, 4 Ru 2.74-2.80

Computed properties:
- energy of formation (meV/atom) = -2
- mass density (Mg/m³) = 9.4
- relative energy among the computed polymorphs (meV per atom) = 110

---

Entry 4:
VASP calculation (PBE) on a geometry-optimized ScTcRu2 structure.

abc: 7.1505 7.1505 5.4080
angles: 90.00 90.00 90.00
Closest atoms and distances in Å follow each position.
Space group I-42d (No. 122)
Symmetry-distinct sites (fractional):
Sc1 0.0000 0.0000 0.0000 [4 per cell]  2 Tc 2.70, 4 Ru 2.83
Tc1 0.0000 0.0000 0.5000 [4 per cell]  4 Ru 2.42, 2 Sc 2.70
Ru1 0.2081 0.2500 0.6250 [8 per cell]  2 Tc 2.42

Computed properties:
- energy of formation (meV/atom) = 316
- mass density (Mg/m³) = 8.3
- relative energy among the computed polymorphs (meV per atom) = 429

---

Entry 5:
VASP calculation (PBE) on a geometry-optimized Sc4TcRu2 structure.

abc: 4.6200 8.0063 13.6240
angles: 90.00 90.00 90.00
Closest atoms and distances in Å follow each position.
Space group Cmcm (No. 63)
Symmetry-distinct sites (fractional):
Sc1 0.0000 0.0000 0.0000 [4 per cell]  6 Ru 2.80
Sc2 0.0000 0.3330 0.1318 [8 per cell]  4 Ru 2.64-2.83
Sc3 0.0000 0.3339 0.7500 [4 per cell]  2 Ru 2.56, 3 Tc 2.67
Tc1 0.0000 0.0006 0.7500 [4 per cell]  3 Sc 2.67
Ru1 0.0000 0.3334 0.5621 [8 per cell]  8 Sc 2.56-2.83

Computed properties:
- energy of formation (meV/atom) = -327
- mass density (Mg/m³) = 6.3

---

Entry 6:
VASP calculation (PBE) on a geometry-optimized Sc2TcRu structure.

abc: 6.4477 6.4477 6.4477
angles: 90.00 90.00 90.00
Closest atoms and distances in Å follow each position.
Space group F-43m (No. 216)
Symmetry-distinct sites (fractional):
Sc1 0.0000 0.0000 0.0000 [4 per cell]  4 Sc 2.79, 4 Ru 2.79
Sc2 0.2500 0.2500 0.2500 [4 per cell]  4 Tc 2.79, 4 Sc 2.79
Tc1 0.0000 0.0000 0.5000 [4 per cell]  4 Ru 2.79, 4 Sc 2.79
Ru1 0.2500 0.2500 0.7500 [4 per cell]  4 Sc 2.79, 4 Tc 2.79

Computed properties:
- energy of formation (meV/atom) = -100
- mass density (Mg/m³) = 7.2

---

Entry 7:
VASP calculation (PBE) on a geometry-optimized Sc2TcRu structure.

abc: 2.8663 4.9051 10.1919
angles: 90.00 90.00 90.00
Closest atoms and distances in Å follow each position.
Space group Immm (No. 71)
Symmetry-distinct sites (fractional):
Sc1 0.0000 0.0000 0.2407 [4 per cell]  1 Ru 2.45, 1 Tc 2.64
Tc1 0.0000 0.0000 0.5000 [2 per cell]  2 Sc 2.64, 4 Ru 2.84, 2 Tc 2.87
Ru1 0.0000 0.0000 0.0000 [2 per cell]  2 Sc 2.45

Computed properties:
- energy of formation (meV/atom) = 579
- mass density (Mg/m³) = 6.7

---

Entry 8:
VASP calculation (PBE) on a geometry-optimized Sc3TcRu structure.

abc: 4.8741 4.8741 4.8741
angles: 90.00 90.00 90.00
Closest atoms and distances in Å follow each position.
Space group Pm-3m (No. 221)
Symmetry-distinct sites (fractional):
Sc1 0.0000 0.0000 0.5000 [3 per cell]  2 Ru 2.44
Tc1 0.5000 0.5000 0.5000 [1 per cell]  12 Sc 3.45
Ru1 0.0000 0.0000 0.0000 [1 per cell]  6 Sc 2.44

Computed properties:
- energy of formation (meV/atom) = 450
- mass density (Mg/m³) = 4.8
- relative energy among the computed polymorphs (meV per atom) = 0

---

What did the sixth record say?
VASP calculation (PBE) on a geometry-optimized Sc2TcRu structure.

abc: 6.4477 6.4477 6.4477
angles: 90.00 90.00 90.00
Closest atoms and distances in Å follow each position.
Space group F-43m (No. 216)
Symmetry-distinct sites (fractional):
Sc1 0.0000 0.0000 0.0000 [4 per cell]  4 Sc 2.79, 4 Ru 2.79
Sc2 0.2500 0.2500 0.2500 [4 per cell]  4 Tc 2.79, 4 Sc 2.79
Tc1 0.0000 0.0000 0.5000 [4 per cell]  4 Ru 2.79, 4 Sc 2.79
Ru1 0.2500 0.2500 0.7500 [4 per cell]  4 Sc 2.79, 4 Tc 2.79

Computed properties:
- energy of formation (meV/atom) = -100
- mass density (Mg/m³) = 7.2